(1)
{"formula": "Tb4NdC2S", "functional": "PBE", "state": "optimized geometry", "lattice": [[3.6739, 0.0000, 0.0000], [-1.8370, 3.1817, 0.0000], [0.0000, 0.0000, 15.8801]], "species": ["Tb", "Tb", "C", "Tb", "S", "Nd", "C", "Tb"], "fractional_positions": [[0.0000, 0.0000, 0.3813], [0.6667, 0.3333, 0.7895], [0.3333, 0.6667, 0.2927], [0.0000, 0.0000, 0.6187], [0.6667, 0.3333, 0.5000], [0.0000, 0.0000, 0.0000], [0.3333, 0.6667, 0.7073], [0.6667, 0.3333, 0.2105]], "final_energy_ev_per_cell": -51.3, "magmom_total_mub_per_fu": 0.8, "sg": "P-6m2"}

***

(2)
{"formula": "HfTlCoMo", "functional": "PBE", "state": "optimized geometry", "lattice": [[4.1637, 1.9041, 0.5862], [0.9901, 2.2220, 3.9227], [2.9775, -1.8422, 3.0077]], "species": ["Mo", "Hf", "Co", "Tl"], "fractional_positions": [[0.2500, 0.2500, 0.2500], [0.5000, 0.5000, 0.5000], [0.7500, 0.7500, 0.7500], [0.0000, 0.0000, 0.0000]], "final_energy_ev_per_cell": -28.7, "magmom_total_mub_per_fu": 1.9, "sg": "F-43m", "e_above_lowest_polymorph_kcal_per_mol_atoms": 0.00}

***

(3)
{"formula": "Na6Pd7", "functional": "PBE", "state": "optimized geometry", "lattice": [[2.7148, 1.5674, 9.5111], [-2.7148, 1.5674, 9.5111], [0.0000, -3.1348, 9.5111]], "species": ["Na", "Na", "Pd", "Pd", "Pd", "Pd", "Pd", "Pd", "Na", "Na", "Na", "Pd", "Na"], "fractional_positions": [[0.4469, 0.4469, 0.4469], [0.6529, 0.6529, 0.6529], [0.5867, 0.0914, 0.0914], [0.9086, 0.9086, 0.4133], [0.0914, 0.0914, 0.5867], [0.0914, 0.5867, 0.0914], [0.0000, 0.0000, 0.0000], [0.9086, 0.4133, 0.9086], [0.5531, 0.5531, 0.5531], [0.8347, 0.8347, 0.8347], [0.3471, 0.3471, 0.3471], [0.4133, 0.9086, 0.9086], [0.1653, 0.1653, 0.1653]], "final_energy_ev_per_cell": -46.1, "sg": "R-3m"}

***

(4)
{"formula": "ErB4As", "functional": "PBE", "state": "optimized geometry", "lattice": [[-1.0765, 0.3328, 2.9604], [0.2743, -2.8888, -1.2702], [7.0706, -0.4830, 2.6253]], "species": ["Er", "B", "B", "As", "B", "B"], "fractional_positions": [[0.0000, 0.0000, 0.5000], [0.6667, 0.3333, 0.7526], [0.3333, 0.6667, 0.2474], [0.0000, 0.0000, 0.0000], [0.6667, 0.3333, 0.2474], [0.3333, 0.6667, 0.7526]], "final_energy_ev_per_cell": -35.6, "magmom_total_mub_per_fu": 0.0, "sg": "P6/mmm", "e_above_lowest_polymorph_kcal_per_mol_atoms": 2.72}

***

(5)
{"formula": "Zn4Ge3", "functional": "PBE", "state": "optimized geometry", "lattice": [[2.9158, -1.3578, -6.9718], [5.6479, 4.4278, -2.7295], [3.2143, -2.9207, 1.9131]], "species": ["Ge", "Ge", "Zn", "Zn", "Zn", "Zn", "Ge", "Zn", "Zn", "Ge", "Zn", "Ge", "Ge", "Zn"], "fractional_positions": [[0.3858, 0.1013, 0.5000], [0.2272, 0.8144, 0.5000], [0.9413, 0.2431, 0.5000], [0.0952, 0.5238, 0.5000], [0.7092, 0.4226, 0.0000], [0.4286, 0.8571, 0.0000], [0.1380, 0.2798, 0.0000], [0.9941, 0.0110, 0.0000], [0.8145, 0.9583, 0.5000], [0.6727, 0.6557, 0.5000], [0.5825, 0.1378, 0.0000], [0.8511, 0.7252, 0.0000], [0.2966, 0.5665, 0.0000], [0.5298, 0.3699, 0.5000]], "final_energy_ev_per_cell": -35.0, "sg": "P6_3/m", "e_above_lowest_polymorph_kcal_per_mol_atoms": 0.20}

***

(6)
{"formula": "Ag2WN4", "functional": "PBE", "state": "optimized geometry", "lattice": [[-4.4715, 0.9375, 3.3133], [0.7046, -5.0665, 2.3844], [2.0512, 1.4014, 2.3717]], "species": ["W", "N", "Ag", "N", "N", "Ag", "N"], "fractional_positions": [[0.0000, 0.0000, 0.0000], [0.7839, 0.2161, 0.7576], [0.0000, 0.5000, 0.0000], [0.2161, 0.7839, 0.7576], [0.7839, 0.7839, 0.2424], [0.5000, 0.0000, 0.0000], [0.2161, 0.2161, 0.2424]], "final_energy_ev_per_cell": -44.2, "magmom_total_mub_per_fu": 0.0, "sg": "P-42m"}

***

(7)
{"formula": "TaB4W", "functional": "PBE", "state": "optimized geometry", "lattice": [[-0.8697, -3.5503, 2.6495], [3.6389, 0.6324, 2.5960], [-3.9391, 1.9713, -0.9891]], "species": ["B", "B", "W", "B", "B", "Ta"], "fractional_positions": [[0.0818, 0.7491, 0.3326], [0.4165, 0.7491, 0.6674], [0.5000, 0.5000, 0.0000], [0.5835, 0.2509, 0.3326], [0.9182, 0.2509, 0.6674], [0.0000, 0.0000, 0.0000]], "final_energy_ev_per_cell": -53.7, "magmom_total_mub_per_fu": 0.0, "sg": "Immm", "e_above_lowest_polymorph_kcal_per_mol_atoms": 0.00}

***

(8)
{"formula": "PdF2", "functional": "PBE", "state": "optimized geometry", "lattice": [[4.2305, 0.0000, 0.0000], [-2.1152, 3.6637, 0.0000], [0.0000, 0.0000, 7.9444]], "species": ["F", "F", "F", "Pd", "F", "Pd", "F", "F", "Pd"], "fractional_positions": [[0.6764, 0.1716, 0.5950], [0.5048, 0.8284, 0.0716], [0.1716, 0.6764, 0.4050], [0.5812, 0.0000, 0.8333], [0.4952, 0.3236, 0.2617], [0.4188, 0.4188, 0.5000], [0.8284, 0.5048, 0.9284], [0.3236, 0.4952, 0.7383], [0.0000, 0.5812, 0.1667]], "final_energy_ev_per_cell": -36.4, "sg": "P3_121"}

***

(9)
{"formula": "Gd3Cd3PtAu2", "functional": "PBE", "state": "optimized geometry", "lattice": [[7.6776, 0.0000, 0.0000], [-3.8388, 6.6490, 0.0000], [0.0000, 0.0000, 4.0341]], "species": ["Pt", "Gd", "Au", "Au", "Cd", "Cd", "Gd", "Cd", "Gd"], "fractional_positions": [[0.0000, 0.0000, 0.0000], [0.3957, 0.0000, 0.0000], [0.3333, 0.6667, 0.5000], [0.6667, 0.3333, 0.5000], [0.7460, 0.0000, 0.5000], [0.0000, 0.7460, 0.5000], [0.0000, 0.3957, 0.0000], [0.2540, 0.2540, 0.5000], [0.6043, 0.6043, 0.0000]], "formation_energy_mev_per_atom": -722.5, "final_energy_ev_per_cell": -35.7, "magmom_total_mub_per_fu": 0.0, "sg": "P-62m"}

***

(10)
{"formula": "NaDyCoSe3", "functional": "PBE", "state": "optimized geometry", "lattice": [[8.3296, 0.0000, 0.0000], [0.0000, 3.9728, 0.0000], [-2.4819, 0.0000, 9.1288]], "species": ["Se", "Se", "Se", "Co", "Co", "Na", "Se", "Dy", "Se", "Se", "Dy", "Na"], "fractional_positions": [[0.7956, 0.2500, 0.4745], [0.0833, 0.2500, 0.8408], [0.2044, 0.7500, 0.5255], [0.0789, 0.2500, 0.5831], [0.9211, 0.7500, 0.4169], [0.1851, 0.2500, 0.1864], [0.9167, 0.7500, 0.1592], [0.3269, 0.7500, 0.8485], [0.4326, 0.7500, 0.1613], [0.5674, 0.2500, 0.8387], [0.6731, 0.2500, 0.1515], [0.8149, 0.7500, 0.8136]], "final_energy_ev_per_cell": -60.3, "magmom_total_mub_per_fu": 1.7, "sg": "P2_1/m", "e_above_lowest_polymorph_kcal_per_mol_atoms": 0.00}

***

(11)
{"formula": "ErGe", "functional": "PBE", "state": "optimized geometry", "lattice": [[1.4993, -4.1496, 1.1811], [0.8777, -0.9498, 4.3806], [-2.7283, -2.8415, 2.3118]], "species": ["Ge", "Er"], "fractional_positions": [[0.2500, 0.2500, 0.2500], [0.0000, 0.0000, 0.0000]], "final_energy_ev_per_cell": -8.9, "magmom_total_mub_per_fu": 0.1, "sg": "F-43m"}

***

(12)
{"formula": "Gd4PbSe4O4", "functional": "PBE", "state": "optimized geometry", "lattice": [[7.8757, -1.9045, 0.0000], [7.8757, 1.9045, 0.0000], [-4.5695, 0.0000, 9.1051]], "species": ["Gd", "O", "Gd", "Gd", "O", "Se", "Pb", "O", "Se", "Gd", "Se", "Se", "O"], "fractional_positions": [[0.5288, 0.5288, 0.3430], [0.6862, 0.6862, 0.4166], [0.7761, 0.7761, 0.6624], [0.4712, 0.4712, 0.6570], [0.9419, 0.9419, 0.7506], [0.8841, 0.8841, 0.3698], [0.0000, 0.0000, 0.0000], [0.3138, 0.3138, 0.5834], [0.3670, 0.3670, 0.9839], [0.2239, 0.2239, 0.3376], [0.6330, 0.6330, 0.0161], [0.1159, 0.1159, 0.6302], [0.0581, 0.0581, 0.2494]], "final_energy_ev_per_cell": -85.7, "magmom_total_mub_per_fu": 0.0, "sg": "C2/m"}

***

(13)
{"formula": "IrF4", "functional": "PBE", "state": "optimized geometry", "lattice": [[4.3739, 0.0000, 0.0000], [0.0080, 4.7359, 0.0000], [0.9822, 0.5192, 4.7068]], "species": ["Ir", "F", "F", "F", "F", "F", "F", "Ir", "F", "F"], "fractional_positions": [[0.5000, 0.5000, 0.0000], [0.2093, 0.7248, 0.8024], [0.7054, 0.8036, 0.1433], [0.2946, 0.1964, 0.8567], [0.2743, 0.3671, 0.3881], [0.7907, 0.2752, 0.1976], [0.7256, 0.6329, 0.6119], [0.5000, 0.0000, 0.5000], [0.1800, 0.8811, 0.3170], [0.8200, 0.1189, 0.6830]], "final_energy_ev_per_cell": -43.3, "magmom_total_mub_per_fu": 0.0, "sg": "P-1", "e_above_lowest_polymorph_kcal_per_mol_atoms": 4.62}

***

(14)
{"formula": "AlFe6Co", "functional": "PBE", "state": "optimized geometry", "lattice": [[-0.3696, 2.0143, 3.4402], [-3.3476, -2.0328, 0.8306], [3.1305, -4.0491, 2.7072]], "species": ["Fe", "Al", "Fe", "Fe", "Fe", "Fe", "Fe", "Co"], "fractional_positions": [[0.0000, 0.5000, 0.2401], [0.0000, 0.0000, 0.5000], [0.5000, 0.0000, 0.7599], [0.0000, 0.0000, 0.0000], [0.0000, 0.5000, 0.7599], [0.5000, 0.0000, 0.2401], [0.5000, 0.5000, 0.5000], [0.5000, 0.5000, 0.0000]], "final_energy_ev_per_cell": -61.6, "magmom_total_mub_per_fu": 15.5, "sg": "P4/mmm"}

***

(15)
{"formula": "LaMg2SiPt", "functional": "PBE", "state": "optimized geometry", "lattice": [[-2.1487, 2.1487, 5.8555], [2.1487, -2.1487, 5.8555], [2.1487, 2.1487, -5.8555]], "species": ["Pt", "La", "Mg", "Mg", "Si"], "fractional_positions": [[0.3918, 0.3918, 0.0000], [0.0082, 0.0082, 0.0000], [0.2502, 0.7502, 0.5000], [0.7502, 0.2502, 0.5000], [0.5996, 0.5996, 0.0000]], "final_energy_ev_per_cell": -23.2, "magmom_total_mub_per_fu": 0.0, "sg": "I4mm"}

***

(16)
{"formula": "AlPbW", "functional": "PBE", "state": "optimized geometry", "lattice": [[0.6029, -3.0334, 3.4016], [-3.3099, -3.0338, 0.9880], [0.5994, -4.4535, -0.9710]], "species": ["Pb", "Al", "W"], "fractional_positions": [[0.7500, 0.7500, 0.7500], [0.2500, 0.2500, 0.2500], [0.0000, 0.0000, 0.0000]], "final_energy_ev_per_cell": -17.3, "magmom_total_mub_per_fu": 1.3, "sg": "F-43m", "e_above_lowest_polymorph_kcal_per_mol_atoms": 0.00}

***

(17)
{"formula": "DyYPO", "functional": "PBE", "state": "optimized geometry", "lattice": [[4.1590, 0.0000, 0.0000], [0.0000, 7.5271, 0.0000], [0.0000, 0.0000, 5.6638]], "species": ["Y", "Y", "P", "Dy", "O", "P", "O", "Dy"], "fractional_positions": [[0.5000, 0.7981, 0.9386], [0.5000, 0.2019, 0.4386], [0.5000, 0.1608, 0.9342], [0.0000, 0.6229, 0.4948], [0.0000, 0.6711, 0.8864], [0.5000, 0.8392, 0.4342], [0.0000, 0.3289, 0.3864], [0.0000, 0.3771, 0.9948]], "final_energy_ev_per_cell": -59.0, "magmom_total_mub_per_fu": 0.0, "sg": "Pmc2_1", "e_above_lowest_polymorph_kcal_per_mol_atoms": 0.00}

***

(18)
{"formula": "BeSnGeOs", "functional": "PBE", "state": "optimized geometry", "lattice": [[-0.1252, -0.9542, 4.3544], [-3.8796, -1.0192, 1.9487], [-0.7897, -4.1777, 1.3454]], "species": ["Be", "Sn", "Os", "Ge"], "fractional_positions": [[0.7500, 0.7500, 0.7500], [0.5000, 0.5000, 0.5000], [0.0000, 0.0000, 0.0000], [0.2500, 0.2500, 0.2500]], "final_energy_ev_per_cell": -20.9, "magmom_total_mub_per_fu": 0.0, "sg": "F-43m", "e_above_lowest_polymorph_kcal_per_mol_atoms": 2.58}

***

(19)
{"formula": "SbMo4AuC2", "functional": "PBE", "state": "optimized geometry", "lattice": [[-2.7230, -0.9357, 1.3285], [0.6928, -0.8624, -2.9718], [6.0513, -11.0532, 4.6183]], "species": ["Au", "C", "Mo", "Mo", "Mo", "C", "Sb", "Mo"], "fractional_positions": [[0.3333, 0.6667, 0.0000], [0.0000, 0.0000, 0.7509], [0.6667, 0.3333, 0.8309], [0.3333, 0.6667, 0.6673], [0.3333, 0.6667, 0.3327], [0.0000, 0.0000, 0.2491], [0.6667, 0.3333, 0.5000], [0.6667, 0.3333, 0.1691]], "final_energy_ev_per_cell": -68.5, "magmom_total_mub_per_fu": 0.0, "sg": "P-6m2"}

***

(20)
{"formula": "RbNiAgTeSe2", "functional": "PBE", "state": "optimized geometry", "lattice": [[1.8166, -8.3073, 0.0000], [1.8166, 8.3073, 0.0000], [0.0000, 0.0000, 10.7357]], "species": ["Ag", "Ni", "Te", "Se", "Ni", "Ag", "Se", "Te", "Se", "Rb", "Se", "Rb"], "fractional_positions": [[0.4402, 0.5598, 0.7500], [0.0000, 0.0000, 0.0000], [0.0710, 0.9290, 0.7500], [0.4023, 0.5977, 0.5170], [0.0000, 0.0000, 0.5000], [0.5598, 0.4402, 0.2500], [0.5977, 0.4023, 0.4830], [0.9290, 0.0710, 0.2500], [0.5977, 0.4023, 0.0170], [0.2385, 0.7615, 0.2500], [0.4023, 0.5977, 0.9830], [0.7615, 0.2385, 0.7500]], "final_energy_ev_per_cell": -42.4, "magmom_total_mub_per_fu": 0.0, "sg": "Cmcm"}